Entry 1:
PrEr6Ni2 | PBE-GGA | relaxed

a = 9.1084 Å, b = 10.1502 Å, c = 10.1892 Å
α = 90.00°, β = 90.00°, γ = 90.00°
Space group Immm (No. 71)
Asymmetric unit:
Pr  0.0000  0.0000  0.0000
Pr  0.0000  0.5000  0.0000
Er  0.0000  0.2226  0.2230
Er  0.1961  0.5000  0.3076
Er  0.1967  0.1897  0.5000
Ni  0.0000  0.0000  0.3743
Ni  0.0000  0.3805  0.5000

- Spin magnetization: 0.00 μB/cell
- Energy relative to the elements: -134 meV per atom

***

Entry 2:
Pr2ErNi9 | PBE-GGA | relaxed

a = 4.9971 Å, b = 4.9971 Å, c = 24.9407 Å
α = 90.00°, β = 90.00°, γ = 120.00°
Space group R-3m (No. 166, hexagonal axes)
Asymmetric unit:
Pr  0.0000  0.0000  0.1375
Er  0.0000  0.0000  0.0000
Ni  0.0000  0.0000  0.3328
Ni  0.0000  0.0000  0.5000
Ni  0.0011  0.5005  0.0790

- Spin magnetization: 3.16 μB/cell
- Energy relative to the elements: -323 meV per atom

***

Entry 3:
Pr2Er3Ni2 | PBE-GGA | relaxed

a = 12.3979 Å, b = 3.6081 Å, c = 9.0758 Å
α = 90.00°, β = 117.57°, γ = 90.00°
Space group C2/m (No. 12)
Asymmetric unit:
Pr  0.1634  0.0000  0.3093
Er  0.0000  0.5000  0.5000
Er  0.1180  0.5000  0.9333
Ni  0.1666  0.0000  0.7421

- Spin magnetization: 0.00 μB/cell
- Energy relative to the elements: -243 meV per atom

***

Entry 4:
PrErNi4 | PBE-GGA | relaxed

a = 7.2409 Å, b = 7.2409 Å, c = 7.2409 Å
α = 90.00°, β = 90.00°, γ = 90.00°
Space group F-43m (No. 216)
Asymmetric unit:
Pr  0.0000  0.0000  0.0000
Er  0.2500  0.2500  0.2500
Ni  0.1239  0.1239  0.6239

- Spin magnetization: 0.00 μB/cell
- Energy relative to the elements: -374 meV per atom

***

Entry 5:
PrEr3Ni8 | PBE-GGA | relaxed

a = 5.0937 Å, b = 5.0937 Å, c = 8.2962 Å
α = 90.00°, β = 90.00°, γ = 120.00°
Space group P3m1 (No. 156)
Asymmetric unit:
Pr  0.0000  0.0000  0.0000
Er  0.0000  0.0000  0.3765
Er  0.6667  0.3333  0.4964
Er  0.6667  0.3333  0.8674
Ni  0.0005  0.5002  0.1899
Ni  0.1685  0.3369  0.6805
Ni  0.3333  0.6667  0.4334
Ni  0.3333  0.6667  0.9331

- Polymorph energy (0 for the lowest one): 25 meV/atom
- Spin magnetization: 0.00 μB/cell
- Energy relative to the elements: -401 meV per atom

***

Entry 6:
Pr2ErNi | PBE-GGA | relaxed

a = 3.5990 Å, b = 3.5990 Å, c = 8.6398 Å
α = 90.00°, β = 90.00°, γ = 90.00°
Space group P4/mmm (No. 123)
Asymmetric unit:
Pr  0.0000  0.0000  0.1948
Er  0.5000  0.5000  0.5000
Ni  0.5000  0.5000  0.0000

- Polymorph energy (0 for the lowest one): 0 meV/atom
- Spin magnetization: 0.01 μB/cell
- Energy relative to the elements: -37 meV per atom

***

Entry 7:
Pr2ErNi | PBE-GGA | relaxed

a = 3.6799 Å, b = 3.6799 Å, c = 31.5700 Å
α = 90.00°, β = 90.00°, γ = 120.00°
Space group R-3m (No. 166, hexagonal axes)
Asymmetric unit:
Pr  0.0000  0.0000  0.1096
Er  0.0000  0.0000  0.0000
Ni  0.0000  0.0000  0.5000

- Polymorph energy (0 for the lowest one): 199 meV/atom
- Spin magnetization: 0.00 μB/cell
- Energy relative to the elements: 163 meV per atom

***

Entry 8:
PrEr3Ni8 | PBE-GGA | relaxed

a = 5.0722 Å, b = 5.0722 Å, c = 24.9406 Å
α = 90.00°, β = 90.00°, γ = 120.00°
Space group R3m (No. 160, hexagonal axes)
Asymmetric unit:
Pr  0.0000  0.0000  0.0000
Er  0.0000  0.0000  0.3766
Er  0.0000  0.0000  0.5005
Er  0.0000  0.0000  0.8744
Ni  0.0000  0.0000  0.1877
Ni  0.0000  0.0000  0.6882
Ni  0.0036  0.5018  0.4393
Ni  0.1670  0.3340  0.2693

- Polymorph energy (0 for the lowest one): 0 meV/atom
- Spin magnetization: 0.00 μB/cell
- Energy relative to the elements: -427 meV per atom

***

Entry 9:
PrEr3Ni2 | PBE-GGA | relaxed

a = 15.9889 Å, b = 4.0363 Å, c = 12.5045 Å
α = 90.00°, β = 129.45°, γ = 90.00°
Space group C2/m (No. 12)
Asymmetric unit:
Pr  0.1290  0.0000  0.2376
Er  0.0778  0.5000  0.4313
Er  0.1307  0.5000  0.9379
Er  0.1522  0.0000  0.7020
Ni  0.2344  0.0000  0.1221
Ni  0.2338  0.0000  0.5449

- Spin magnetization: 0.00 μB/cell
- Energy relative to the elements: -223 meV per atom

***

Entry 10:
Pr2ErSi3Ni12 | PBE-GGA | relaxed

a = 7.4598 Å, b = 7.4598 Å, c = 19.0320 Å
α = 90.00°, β = 90.00°, γ = 120.00°
Space group R-3m (No. 166, hexagonal axes)
Asymmetric unit:
Pr  0.0000  0.0000  0.0997
Er  0.0000  0.0000  0.5000
Si  0.0000  0.5000  0.0000
Ni  0.0228  0.5114  0.3632
Ni  0.0873  0.5436  0.8837

- Spin magnetization: 0.00 μB/cell
- Formation energy without anion corrections: 0.04 eV/atom

***

Entry 11:
PrErSi2Ni2 | PBE-GGA | relaxed

a = 4.0024 Å, b = 4.0024 Å, c = 8.1558 Å
α = 90.00°, β = 90.00°, γ = 120.00°
Space group P-3m1 (No. 164)
Asymmetric unit:
Pr  0.0000  0.0000  0.0000
Er  0.0000  0.0000  0.5000
Si  0.3333  0.6667  0.2620
Ni  0.3333  0.6667  0.7316

- Spin magnetization: 0.00 μB/cell
- Formation energy without anion corrections: -0.75 eV/atom

***

Entry 12:
Pr2ErZn12Ni3 | PBE-GGA | relaxed

a = 7.1690 Å, b = 7.1690 Å, c = 24.9734 Å
α = 90.00°, β = 90.00°, γ = 120.00°
Space group R-3m (No. 166, hexagonal axes)
Asymmetric unit:
Pr  0.0000  0.0000  0.1261
Er  0.0000  0.0000  0.5000
Zn  0.0653  0.5326  0.2787
Zn  0.0933  0.5467  0.9007
Ni  0.0000  0.5000  0.0000

- Spin magnetization: 0.00 μB/cell
- Energy relative to the elements: 73 meV per atom

***

Entry 13:
PrErZnNi | PBE-GGA | relaxed

a = 7.0716 Å, b = 7.0716 Å, c = 7.0716 Å
α = 90.00°, β = 90.00°, γ = 90.00°
Space group F-43m (No. 216)
Asymmetric unit:
Pr  0.0000  0.0000  0.0000
Er  0.0000  0.0000  0.5000
Zn  0.2500  0.2500  0.2500
Ni  0.2500  0.2500  0.7500

- Spin magnetization: 0.00 μB/cell
- Energy relative to the elements: -276 meV per atom

***

Entry 14:
Er3Ni2Pt | PBE-GGA | relaxed

a = 11.3805 Å, b = 3.9852 Å, c = 11.1866 Å
α = 90.00°, β = 90.00°, γ = 90.00°
Space group Pnma (No. 62)
Asymmetric unit:
Er  0.0534  0.2500  0.1219
Er  0.1219  0.7500  0.5645
Er  0.2053  0.2500  0.8167
Ni  0.0050  0.7500  0.3018
Ni  0.1808  0.7500  0.9992
Pt  0.1245  0.2500  0.3753

- Spin magnetization: 0.00 μB/cell
- Energy relative to the elements: -652 meV per atom

***

Entry 15:
Er2Ni9Pt | PBE-GGA | relaxed

a = 4.8868 Å, b = 4.8868 Å, c = 23.7556 Å
α = 90.00°, β = 90.00°, γ = 120.00°
Space group R-3m (No. 166, hexagonal axes)
Asymmetric unit:
Er  0.0000  0.0000  0.1327
Ni  0.0000  0.0000  0.3332
Ni  0.0000  0.0000  0.5000
Ni  0.0014  0.5007  0.9181
Pt  0.0000  0.0000  0.0000

- Spin magnetization: 9.25 μB/cell
- Energy relative to the elements: -224 meV per atom

***

Entry 16:
Er3Ni8Pt | PBE-GGA | relaxed

a = 4.9606 Å, b = 4.9606 Å, c = 24.3590 Å
α = 90.00°, β = 90.00°, γ = 120.00°
Space group R3m (No. 160, hexagonal axes)
Asymmetric unit:
Er  0.0000  0.0000  0.0000
Er  0.0000  0.0000  0.1311
Er  0.0000  0.0000  0.5189
Ni  0.0000  0.0000  0.3204
Ni  0.0000  0.0000  0.8201
Ni  0.1674  0.3348  0.4030
Ni  0.1684  0.3368  0.9033
Pt  0.0000  0.0000  0.6379

- Spin magnetization: 0.00 μB/cell
- Energy relative to the elements: -483 meV per atom

***

Entry 17:
Er2NiPt | PBE-GGA | relaxed

a = 5.4837 Å, b = 4.2810 Å, c = 7.5333 Å
α = 90.00°, β = 110.19°, γ = 90.00°
Space group P2_1/m (No. 11)
Asymmetric unit:
Er  0.2173  0.2500  0.4304
Er  0.2211  0.2500  0.9296
Ni  0.3398  0.7500  0.7080
Pt  0.3437  0.7500  0.2122

- Spin magnetization: 0.00 μB/cell
- Energy relative to the elements: -908 meV per atom

***

Entry 18:
Er5Ni2Pt | PBE-GGA | relaxed

a = 7.3265 Å, b = 7.3265 Å, c = 13.2837 Å
α = 90.00°, β = 90.00°, γ = 90.00°
Space group I4/mcm (No. 140)
Asymmetric unit:
Er  0.0000  0.0000  0.0000
Er  0.1677  0.3323  0.1414
Ni  0.1239  0.3761  0.5000
Pt  0.0000  0.0000  0.2500

- Spin magnetization: 0.00 μB/cell
- Energy relative to the elements: -596 meV per atom

***

Entry 19:
Er12Ni6Pt | PBE-GGA | relaxed

a = 12.1623 Å, b = 12.1623 Å, c = 11.2845 Å
α = 90.00°, β = 90.00°, γ = 120.00°
Space group R-3 (No. 148, hexagonal axes)
Asymmetric unit:
Er  0.0231  0.2064  0.3872
Er  0.0298  0.2069  0.8782
Ni  0.0373  0.2595  0.6446
Pt  0.0000  0.0000  0.0000

- Polymorph energy (0 for the lowest one): 116 meV/atom
- Spin magnetization: 0.00 μB/cell
- Energy relative to the elements: -305 meV per atom

***

Entry 20:
Er6Ni2Pt | PBE-GGA | relaxed

a = 9.2783 Å, b = 9.3896 Å, c = 9.5506 Å
α = 90.00°, β = 90.00°, γ = 90.00°
Space group Immm (No. 71)
Asymmetric unit:
Er  0.0000  0.1867  0.2502
Er  0.1923  0.5000  0.1713
Er  0.2304  0.3232  0.5000
Ni  0.0000  0.3423  0.0000
Ni  0.0000  0.5000  0.3800
Pt  0.0000  0.0000  0.0000
Pt  0.0000  0.0000  0.5000

- Polymorph energy (0 for the lowest one): 0 meV/atom
- Spin magnetization: 0.00 μB/cell
- Energy relative to the elements: -530 meV per atom

***

Entry 21:
Er2NiPt | PBE-GGA | relaxed

a = 4.8409 Å, b = 4.8409 Å, c = 3.3943 Å
α = 90.00°, β = 90.00°, γ = 90.00°
Space group P4/mmm (No. 123)
Asymmetric unit:
Er  0.0000  0.5000  0.0000
Ni  0.0000  0.0000  0.5000
Pt  0.5000  0.5000  0.5000

- Spin magnetization: 0.00 μB/cell
- Energy relative to the elements: -852 meV per atom